No. 1
! Tl3ReTc | Alexandria via LeMat-Bulk | GGA-PBEsol | optimized geometry; values from VASP
&SYSTEM
  ibrav = 0, nat = 5, ntyp = 3
/
ATOMIC_SPECIES
Tc 98.00 Tc.upf
Tl 204.38 Tl.upf
Re 186.21 Re.upf
CELL_PARAMETERS angstrom
-4.3794 1.6140 -2.2414
-2.4976 -0.5200 4.5055
1.1794 4.8921 1.2184
ATOMIC_POSITIONS crystal
Tc 0.0000 0.0000 0.0000
Tl 0.5000 0.0000 0.0000
Tl 0.0000 0.0000 0.5000
Tl 0.0000 0.5000 0.0000
Re 0.5000 0.5000 0.5000
! Mass density, g/cm³: 10.7
! Energy, eV/atom: -4.703
! Total magnetization, μB per atom: 1.107
! D(E_F), states/eV/atom: 0.88



No. 2
! TlReTc2 | Alexandria via LeMat-Bulk | GGA-PBEsol | optimized geometry; values from VASP
&SYSTEM
  ibrav = 0, nat = 4, ntyp = 3
/
ATOMIC_SPECIES
Re 186.21 Re.upf
Tc 98.00 Tc.upf
Tl 204.38 Tl.upf
CELL_PARAMETERS angstrom
3.8284 0.0000 0.0000
0.0000 3.8284 0.0000
-1.9142 -1.9142 4.2613
ATOMIC_POSITIONS crystal
Re 0.2500 0.7500 0.5000
Tc 0.7500 0.2500 0.5000
Tl 0.5000 0.5000 0.0000
Tc 0.0000 0.0000 0.0000
! Mass density, g/cm³: 15.6
! Offset from the most stable computed form, meV per atom: 0
! Total magnetization, μB per atom: 0.000
! D(E_F), states/eV/atom: 0.97